YZrTc2 | PBE-GGA | optimized geometry

E_form (meV/atom): 156

Unit cell a=6.1247 b=8.8107 c=3.0317 alpha=90.00 beta=112.24 gamma=90.00
Last column: nearest neighbours and their distance in Å.
Space group C2/m (No. 12)
One atom of each set of equivalent atoms:
Y 0.0000 0.0000 0.0000  4 Tc 2.78, 2 Y 3.03, 2 Zr 3.06
Zr 0.0000 0.5000 0.0000  4 Tc 2.78, 2 Zr 3.03, 2 Y 3.06
Tc 0.2500 0.2500 0.5000  2 Zr 2.78, 2 Y 2.78, 4 Tc 3.03-3.06